Here is crystalline Dy2Er2Lu3Ni2Te2 at its relaxed geometry from OQMD via LeMat-Bulk. Energies are from GGA-PBE.

Cell lengths 9.238, 9.238, 9.238 Å; angles 156.14, 67.20, 118.23 degrees
Atoms (fractional coordinates):
Ni: 0.307 0.069 0.238
Er: 0.692 0.377 0.315
Ni: 0.831 0.069 0.762
Lu: 0.000 0.000 0.000
Er: 0.061 0.377 0.685
Te: 0.733 0.233 0.500
Te: 0.341 0.341 0.000
Lu: 0.717 0.582 0.135
Dy: 0.083 0.729 0.354
Lu: 0.447 0.582 0.865
Dy: 0.375 0.729 0.646

* E above lowest polymorph: 8 meV per atom
* total magnetic moment: 0.000 μB per atom